# K2TlWBr

A relaxed K2TlWBr crystal (PBE, Alexandria). Values from VASP.

```
&SYSTEM
  ibrav = 0, nat = 5, ntyp = 4
/
ATOMIC_SPECIES
K 39.10 K.upf
Tl 204.38 Tl.upf
W 183.84 W.upf
Br 79.90 Br.upf
CELL_PARAMETERS angstrom
6.186 0.000 0.000
0.000 6.186 0.000
0.000 0.000 4.811
ATOMIC_POSITIONS angstrom
K 0.000 3.093 0.000
K 3.093 0.000 0.000
Tl 0.000 0.000 2.406
W 3.093 3.093 2.406
Br 3.093 3.093 0.000
```

## Properties
**Formation energy from raw total energies**: 0.793 eV/atom
**Total magnetization**: 1.62 μB/f.u.
**SG**: P4/mmm (123)